This record from the Open Quantum Materials Database describes a relaxed BaHoAsO crystal. The functional is PBE.

Cell lengths 4.0408, 6.9465, 7.6662 Å; angles 90.00, 90.00, 90.00 degrees
Space group Pmc2_1 (No. 26)
Inequivalent atoms, fractional coordinates:
Ba  0.0000  0.0625  0.0000 x2
Ho  0.5000  0.3790  0.3531 x2
As  0.5000  0.2527  0.7083 x2
O  0.0000  0.2667  0.2907 x2

Energy ... -47.23 eV per cell
Total magnetic moment ... 0.0 μB per cell

=====

This record from the Open Quantum Materials Database describes a relaxed TaWC2 crystal. The functional is PBE.

Cell lengths 3.1347, 3.1347, 4.4210 Å; angles 90.00, 90.00, 90.00 degrees
Space group P4/mmm (No. 123)
Inequivalent atoms, fractional coordinates:
Ta  0.0000  0.0000  0.0000 x1
W  0.5000  0.5000  0.5000 x1
C  0.0000  0.0000  0.5000 x1
C  0.5000  0.5000  0.0000 x1

Energy ... -43.78 eV per cell
Total magnetic moment ... 0.0 μB per cell

=====

This record from the Open Quantum Materials Database describes a relaxed BaZnCdSe3 crystal. The functional is PBE.

Cell lengths 4.2158, 14.3202, 10.6387 Å; angles 90.00, 90.00, 90.00 degrees
Space group Cmcm (No. 63)
Inequivalent atoms, fractional coordinates:
Ba  0.0000  0.2400  0.2500 x4
Zn  0.0000  0.0000  0.0000 x4
Cd  0.0000  0.4767  0.7500 x4
Se  0.0000  0.0854  0.7500 x4
Se  0.0000  0.3738  0.5458 x8

Energy ... -80.22 eV per cell